Density functional theory data (GGA-PBE) for crystalline Cr2NiRh8 at its relaxed geometry.

Calculated total energy in eV/cell: -83.2
DFT formation energy in eV/atom: 0.06

Cell lengths 6.9528, 6.9528, 6.9528 Å; angles 146.96, 121.67, 68.69 degrees
Sites, in units of the cell vectors:
1 Cr 0.2008 0.2008 0.0000
2 Cr 0.7992 0.7992 0.0000
3 Ni 0.5000 0.5000 0.0000
4 Rh 0.0610 0.3452 0.7158
5 Rh 0.1927 0.0000 0.1927
6 Rh 0.3482 0.8482 0.5000
7 Rh 0.3706 0.6548 0.7158
8 Rh 0.6294 0.3452 0.2842
9 Rh 0.6518 0.1518 0.5000
10 Rh 0.8073 0.0000 0.8073
11 Rh 0.9390 0.6548 0.2842



Density functional theory data (GGA-PBE) for crystalline Cr2Ni15Rh2 at its relaxed geometry.

Calculated total energy in eV/cell: -117.3
DFT formation energy in eV/atom: 0.18
Relative energy among the computed polymorphs in eV/atom: 0.0000

Cell lengths 6.2087, 6.2087, 6.2087 Å; angles 82.19, 82.19, 82.19 degrees
Sites, in units of the cell vectors:
1 Cr 0.1509 0.1509 0.1509
2 Cr 0.8491 0.8491 0.8491
3 Ni 0.0000 0.5000 0.5000
4 Ni 0.1519 0.1519 0.6644
5 Ni 0.1519 0.6644 0.1519
6 Ni 0.1889 0.5000 0.8111
7 Ni 0.1889 0.8111 0.5000
8 Ni 0.3356 0.8481 0.8481
9 Ni 0.5000 0.0000 0.5000
10 Ni 0.5000 0.1889 0.8111
11 Ni 0.5000 0.5000 0.0000
12 Ni 0.5000 0.8111 0.1889
13 Ni 0.6644 0.1519 0.1519
14 Ni 0.8111 0.1889 0.5000
15 Ni 0.8111 0.5000 0.1889
16 Ni 0.8481 0.3356 0.8481
17 Ni 0.8481 0.8481 0.3356
18 Rh 0.3981 0.3981 0.3981
19 Rh 0.6019 0.6019 0.6019



Number 1: size of the total moment 0.62 μB/f.u.. Number 2: size of the total moment 18.56 μB/f.u..